Entry from the Alexandria database: a relaxed structure of V13Re2 (PBE).

Unit cell a=4.9722 b=6.7422 c=6.7461 alpha=113.64 beta=82.11 gamma=98.22
Last column: nearest neighbours and their distance in Å.
Fractional coordinates of all 15 atoms:
V 0.7321 0.5990 0.0628  8 V 2.56-2.63
V 0.5324 0.8002 0.8673  7 V 2.59-2.62, 1 Re 2.60
V 0.4676 0.1998 0.1327  7 V 2.59-2.62, 1 Re 2.60
V 0.7986 0.2016 0.8017  6 V 2.59-2.62, 2 Re 2.62-2.64
V 0.5929 0.3977 0.6016  1 Re 2.55, 7 V 2.59-2.64
Re 0.1352 0.2024 0.4668  8 V 2.55-2.64
V 0.4071 0.6023 0.3984  1 Re 2.55, 7 V 2.59-2.64
V 0.6704 0.9994 0.3314  6 V 2.59-2.64, 2 Re 2.59-2.62
V 0.2679 0.4010 0.9372  8 V 2.56-2.63
V 0.0000 0.0000 0.0000  8 V 2.59-2.62
V 0.9343 0.3994 0.2656  6 V 2.58-2.64, 2 Re 2.61
V 0.2014 0.7984 0.1983  6 V 2.59-2.62, 2 Re 2.62-2.64
V 0.3296 0.0006 0.6686  6 V 2.59-2.64, 2 Re 2.59-2.62
Re 0.8648 0.7976 0.5332  8 V 2.55-2.64
V 0.0657 0.6006 0.7344  6 V 2.58-2.64, 2 Re 2.61

Results
DOS(E_F)   1.519 states/eV per atom
Calculated formation energy   -14.1 kJ/mol of atoms
Raw total energy   -9.709 eV/atom


Entry from the Alexandria database: a relaxed structure of V5Re2 (PBE).

Unit cell a=2.6443 b=9.0279 c=9.0810 alpha=90.00 beta=90.00 gamma=75.01
Last column: nearest neighbours and their distance in Å.
Fractional coordinates of all 14 atoms:
V 0.0353 0.5422 0.6496  2 Re 2.53-2.57, 4 V 2.63-2.64
V 0.0465 0.7317 0.4288  2 Re 2.47-2.72, 5 V 2.48-2.64
V 0.9647 0.9578 0.1496  2 Re 2.53-2.57, 4 V 2.63-2.64
V 0.9648 0.4579 0.3505  2 Re 2.53-2.57, 4 V 2.63-2.64
V 0.0352 0.0421 0.8505  2 Re 2.53-2.57, 4 V 2.63-2.64
V 0.9535 0.7683 0.9288  2 Re 2.47-2.72, 5 V 2.48-2.64
V 0.0000 0.0001 0.5000  4 V 2.48-2.64, 2 Re 2.50
V 0.0470 0.2315 0.0711  2 Re 2.47-2.72, 5 V 2.48-2.64
Re 0.5218 0.8184 0.6856  5 V 2.47-2.72, 2 Re 2.64
Re 0.4783 0.6815 0.1856  5 V 2.47-2.72, 2 Re 2.64
Re 0.5217 0.3183 0.8143  5 V 2.47-2.72, 2 Re 2.64
Re 0.4783 0.1817 0.3143  5 V 2.47-2.72, 2 Re 2.64
V 0.9530 0.2685 0.5711  2 Re 2.47-2.72, 5 V 2.48-2.64
V 0.0000 0.4999 0.0000  4 V 2.48-2.64, 2 Re 2.50

Results
DOS(E_F)   1.022 states/eV per atom
Calculated formation energy   22.0 kJ/mol of atoms
Raw total energy   -9.842 eV/atom